i) # NiINF2, optimized geometry, DFT PBE+U
# * SG: No. 123
# * V: 74.4 Å³/cell
# * crystal system: tetragonal
data_NiINF2
_cell_length_a 3.7176
_cell_length_b 3.7176
_cell_length_c 5.3822
_cell_angle_alpha 90.00
_cell_angle_beta 90.00
_cell_angle_gamma 90.00
_symmetry_space_group_name_H-M 'P 1'
_symmetry_Int_Tables_number 1
loop_
_symmetry_equiv_pos_as_xyz
'x,y,z'
loop_
_atom_site_label
_atom_site_fract_x
_atom_site_fract_y
_atom_site_fract_z
I1 0.5000 0.5000 0.5000
Ni1 0.0000 0.0000 0.0000
N1 0.0000 0.0000 0.5000
F1 0.0000 0.5000 0.0000
F2 0.5000 0.0000 0.0000


ii) # NiINF2, optimized geometry, DFT PBE+U
# * SG: No. 123
# * V: 89.7 Å³/cell
# * crystal system: tetragonal
data_NiINF2
_cell_length_a 4.7139
_cell_length_b 4.7139
_cell_length_c 4.0388
_cell_angle_alpha 90.00
_cell_angle_beta 90.00
_cell_angle_gamma 90.00
_symmetry_space_group_name_H-M 'P 1'
_symmetry_Int_Tables_number 1
loop_
_symmetry_equiv_pos_as_xyz
'x,y,z'
loop_
_atom_site_label
_atom_site_fract_x
_atom_site_fract_y
_atom_site_fract_z
I1 0.0000 0.0000 0.0000
Ni1 0.5000 0.5000 0.5000
N1 0.0000 0.0000 0.5000
F1 0.0000 0.5000 0.0000
F2 0.5000 0.0000 0.0000


The relative energies come out as i) 0.000; ii) 0.676, with values in eV/atom.